10
Lattice="5.6200 -2.1979 0.0000 5.6200 2.1979 0.0000 -5.0846 0.0000 10.2684" Properties=species:S:1:pos:R:3 comment="Sr2Cu2Pd, relaxed, DFT PBE" vol_a3_per_cell=254 e_form_ev_per_atom=-0.271 dos_ef_per_ev_fu=2.59 e_tot_ev_per_atom=-3.62 magnetic_moment_mub_per_fu=0.0 space_group="C2/m, No. 12" pbc="T T T"
Sr -0.9233 0.0000 3.9943
Sr -1.0044 0.0000 8.8570
Sr 7.1598 0.0000 1.4114
Sr 7.0787 0.0000 6.2741
Cu -4.2346 0.0000 9.4023
Cu 2.4366 0.0000 4.0312
Cu 3.7188 0.0000 6.2372
Cu 10.3900 0.0000 0.8661
Pd 3.8775 0.0000 1.8870
Pd 2.2779 0.0000 8.3814